SrAl2Tl: relaxed, PBE.

Cell and atoms, written as extended XYZ:
```
4
Lattice="-0.489 4.419 -2.294 0.763 -1.582 -3.210 -5.716 -1.063 -0.828" Properties=species:S:1:pos:R:3 pbc="T T T"
Sr -1.483 1.548 -2.157
Tl -3.960 0.226 -4.176
Al 0.522 -1.193 -2.410
Al -2.236 -1.711 -2.819
```

Computed properties:
**Crystal system**: monoclinic
**Spin magnetization**: 0.0 μB/cell
**Energy relative to the elements**: 0.0358 eV/atom
**Density of states at the Fermi level**: 0.613 states/eV per atom
**Distance to the lowest polymorph of the same formula**: 4.56 kcal/mol of atoms
**Electronic total energy**: -2.8475 eV/atom